{"formula": "V3ReRu", "functional": "PBE", "state": "optimized geometry", "cell": [[6.7850, 0.0000, 0.0000], [-2.7834, 6.2447, 0.0000], [-0.9598, -1.4861, 6.7962]], "species": ["V", "V", "V", "V", "V", "V", "V", "V", "V", "V", "V", "V", "Re", "Re", "Re", "Re", "Ru", "Ru", "Ru", "Ru"], "fractional_positions": [[0.0305, 0.1960, 0.0808], [0.0362, 0.1908, 0.4380], [0.2590, 0.6686, 0.6155], [0.3316, 0.6169, 0.0124], [0.3606, 0.0394, 0.9275], [0.4550, 0.1713, 0.5965], [0.5450, 0.8287, 0.4035], [0.6394, 0.9606, 0.0725], [0.6684, 0.3831, 0.9876], [0.7410, 0.3314, 0.3845], [0.9638, 0.8092, 0.5620], [0.9695, 0.8040, 0.9192], [0.0631, 0.5494, 0.2464], [0.2651, 0.9702, 0.2611], [0.7349, 0.0298, 0.7389], [0.9369, 0.4506, 0.7536], [0.1926, 0.2401, 0.7828], [0.4174, 0.4127, 0.2871], [0.5826, 0.5873, 0.7130], [0.8074, 0.7599, 0.2172]], "ef_ev_per_atom": 0.080, "spacegroup": "No. 2", "polymorph_energy_mev_per_atom": 357, "total_energy_ev_per_atom": -9.736}